Material: Sr3NbCoO7
Method: DFT, PBE with a Hubbard U
State: optimized geometry

```
Sr3NbCoO7
1.0
-0.8850 -5.4786 -0.8966
5.2387 -0.5237 -1.9707
4.8551 -1.3850 21.2928
O Sr Nb Co
28 12 4 4
Cartesian
7.3894 -5.4324 17.0744 O
9.5865 -4.6076 18.6907 O
3.4511 -2.1527 9.7465 O
4.0161 -1.1331 2.9593 O
8.2683 -3.7854 14.9679 O
6.5246 -7.0850 19.2277 O
3.1718 -1.2077 12.5123 O
6.4936 -3.5006 6.1594 O
5.8186 -1.2994 11.5548 O
4.3098 -4.3316 4.5900 O
7.0896 -6.0655 12.4405 O
5.2132 -4.0224 11.1678 O
7.8293 -2.6929 17.5238 O
5.6280 -5.1538 8.3128 O
2.5663 -3.9307 12.1253 O
4.3167 -2.0911 0.2529 O
5.2064 -6.2628 15.5049 O
3.8747 -3.2360 7.1452 O
6.0472 -6.2395 5.7126 O
0.9542 -3.6105 3.4963 O
4.7707 -5.1664 18.0605 O
3.4282 -5.9749 6.6983 O
5.2106 -2.4268 18.5098 O
1.6698 -1.9996 1.2103 O
2.1329 -1.3304 6.0236 O
1.3900 -4.7552 0.7008 O
4.0369 -4.8466 -0.2567 O
4.9127 -3.0643 13.8742 O
4.3651 -5.7381 13.1290 Sr
5.6854 -3.5463 16.0564 Sr
4.7888 -1.6151 5.1415 Sr
0.1287 -0.0803 0.3634 Sr
2.3055 -3.0814 -1.0702 Sr
1.2917 -0.8057 3.6478 Sr
6.2640 -2.5352 9.3077 Sr
3.4685 -3.8068 2.2141 Sr
7.4270 -3.2606 12.5920 Sr
1.7270 -4.0925 5.6785 Sr
7.8623 -6.5475 14.6228 Sr
3.2021 -5.0126 9.8447 Sr
2.8222 -1.7603 7.9702 Nb
5.8956 -6.6927 17.4514 Nb
4.9990 -4.7615 6.5365 Nb
8.9575 -4.2153 16.9144 Nb
0.3055 -3.2059 1.6643 Co
6.4409 -5.6608 10.6085 Co
3.3674 -0.7285 1.1272 Co
4.2640 -2.6597 12.0421 Co
```

Output
Fermi-level density of states in states/eV per atom: 0.055
E above lowest polymorph in eV per formula unit: 0.00
Crystal system: tetragonal